(1)
Below is an optimized crystal structure of Zr2InSb, with properties calculated at the PBEsol level.

Properties
**Uncorrected energy**: -52.6 eV/cell
**N(E_F)**: 7.164 states/eV per cell
**Total magnetization**: 0.000 μB per atom
**E above lowest polymorph**: 102 kJ/mol of formula units

Unit cell a=4.1225 b=4.8015 c=9.4413 alpha=90.00 beta=90.00 gamma=90.00
Last column: nearest neighbours and their distance in Å.
Space group Cmm2 (No. 35)
Symmetry-distinct sites (fractional):
Zr 0.0000 0.0000 0.0000 x2  4 In 3.04-3.28, 8 Zr 3.05-3.29
Zr 0.0000 0.5000 0.2380 x2  4 Sb 3.01-3.25, 8 Zr 3.05-3.29
In 0.0000 0.5000 0.7639 x2  4 Zr 3.04-3.28, 4 In 3.16
Sb 0.0000 0.0000 0.4704 x2  4 Zr 3.01-3.25, 4 Sb 3.16

---

(2)
Below is an optimized crystal structure of ZnCoO3, with properties calculated at the PBEsol level.

Properties
**Uncorrected energy**: -244.2 eV/cell
**N(E_F)**: 21.310 states/eV per cell
**Total magnetization**: 0.201 μB per atom

Unit cell a=9.3894 b=8.5115 c=4.9899 alpha=90.00 beta=98.38 gamma=90.00
Last column: nearest neighbours and their distance in Å.
Space group C2/c (No. 15)
Symmetry-distinct sites (fractional):
Zn 0.1841 0.0965 0.3036 x8  4 O 1.91-1.99
Co 0.0000 0.2466 0.7500 x4  6 O 1.79-1.93
Co 0.0000 0.4146 0.2500 x4  6 O 1.81-1.91
O 0.1023 0.2696 0.0913 x8  2 Co 1.81-1.84, 1 Zn 1.91
O 0.1022 0.4177 0.6103 x8  3 Co 1.91-1.93, 1 Zn 1.99
O 0.1267 0.1069 0.6560 x8  1 Co 1.79, 2 Zn 1.91-1.93

---

(3)
Below is an optimized crystal structure of LaY2TlW, with properties calculated at the PBEsol level.

Properties
**Uncorrected energy**: -29.0 eV/cell
**N(E_F)**: 4.100 states/eV per cell
**Total magnetization**: 0.000 μB per atom
**DFT formation energy**: 1284 meV/atom

Unit cell a=5.4393 b=5.4393 c=4.8152 alpha=90.00 beta=90.00 gamma=90.00
Last column: nearest neighbours and their distance in Å.
Space group P4/mmm (No. 123)
Symmetry-distinct sites (fractional):
La 0.0000 0.0000 0.0000 x1  2 W 2.41
Y 0.0000 0.5000 0.0000 x2  2 La 2.72
Tl 0.5000 0.5000 0.5000 x1  8 Y 3.63, 4 W 3.85
W 0.0000 0.0000 0.5000 x1  2 La 2.41

---

N(E_F) of number 3 (LaY2TlW)? 4.100 states/eV per cell

---

Which of these has the lowest N(E_F)? LaY2TlW